# Y3Al3Ga8, relaxed, DFT GGA-PBE
# Calculated formation energy = -0.430 eV/atom
# Crystal system = orthorhombic
# Final energy = -4.347 eV per atom
data_Y3Al3Ga8
_cell_length_a 4.2004
_cell_length_b 9.8267
_cell_length_c 13.0243
_cell_angle_alpha 90.00
_cell_angle_beta 90.00
_cell_angle_gamma 90.00
_space_group_name_H-M_alt 'I m m m'
_space_group_IT_number 71
_space_group_name_Hall '-I 2 2'
loop_
_atom_site_label
_atom_site_fract_x
_atom_site_fract_y
_atom_site_fract_z
Y1 0.0000 0.0000 0.0000
Y2 0.0000 0.0000 0.3163
Al1 0.0000 0.2142 0.5000
Al2 0.0000 0.5000 0.0000
Ga1 0.0000 0.2787 0.1375
Ga2 0.0000 0.3716 0.3346



# LaY3Er2Bi6, relaxed, DFT GGA-PBE
# Calculated formation energy = -0.889 eV/atom
# Crystal system = monoclinic
# Final energy = -5.617 eV per atom
data_LaY3Er2Bi6
_cell_length_a 7.8106
_cell_length_b 13.5344
_cell_length_c 7.8115
_cell_angle_alpha 90.00
_cell_angle_beta 109.52
_cell_angle_gamma 90.00
_space_group_name_H-M_alt 'C 1 2/m 1'
_space_group_IT_number 12
loop_
_space_group_symop_operation_xyz
'x,y,z'
'-x,-y,-z'
'-x,y,-z'
'x,-y,z'
'x+1/2,y+1/2,z'
'-x+1/2,-y+1/2,-z'
'-x+1/2,y+1/2,-z'
'x+1/2,-y+1/2,z'
loop_
_atom_site_label
_atom_site_fract_x
_atom_site_fract_y
_atom_site_fract_z
La1 0.0000 0.0000 0.0000
Y1 0.0000 0.1628 0.5000
Y2 0.0000 0.5000 0.5000
Er1 0.0000 0.3320 0.0000
Bi1 0.2407 0.5000 0.2496
Bi2 0.2443 0.3291 0.7464



# Tl8SnHg3, relaxed, DFT GGA-PBE
# Calculated formation energy = 0.048 eV/atom
# Crystal system = trigonal
# Final energy = -1.938 eV per atom
data_Tl8SnHg3
_cell_length_a 10.3398
_cell_length_b 10.3398
_cell_length_c 12.4770
_cell_angle_alpha 90.00
_cell_angle_beta 90.00
_cell_angle_gamma 120.00
_space_group_name_H-M_alt 'R -3 m'
_space_group_IT_number 166
_space_group_name_Hall '-R 3 2"'
loop_
_atom_site_label
_atom_site_fract_x
_atom_site_fract_y
_atom_site_fract_z
Tl1 0.0000 0.0000 0.2285
Tl2 0.0241 0.5121 0.7422
Sn1 0.0000 0.0000 0.5000
Hg1 0.0000 0.5000 0.0000



# PaTi2Sb, relaxed, DFT GGA-PBE
# Formation energy without anion corrections = -0.228 eV/atom
# Crystal system = cubic
# Excess energy over the best structure of this formula in the dataset = 0.068 eV/atom
# Final energy = -7.580 eV per atom
data_PaTi2Sb
_cell_length_a 6.7765
_cell_length_b 6.7765
_cell_length_c 6.7765
_cell_angle_alpha 90.00
_cell_angle_beta 90.00
_cell_angle_gamma 90.00
_space_group_name_H-M_alt 'F m -3 m'
_space_group_IT_number 225
_space_group_name_Hall '-F 4 2 3'
loop_
_atom_site_label
_atom_site_fract_x
_atom_site_fract_y
_atom_site_fract_z
Pa1 0.0000 0.0000 0.0000
Ti1 0.2500 0.2500 0.2500
Sb1 0.0000 0.0000 0.5000



# PdAuIO2, relaxed, DFT GGA-PBE
# Formation energy without anion corrections = 0.420 eV/atom
# Crystal system = tetragonal
# Excess energy over the best structure of this formula in the dataset = 0.210 eV/atom
# Final energy = -3.567 eV per atom
data_PdAuIO2
_cell_length_a 3.9066
_cell_length_b 3.9066
_cell_length_c 8.0408
_cell_angle_alpha 90.00
_cell_angle_beta 90.00
_cell_angle_gamma 90.00
_space_group_name_H-M_alt 'P 4/m m m'
_space_group_IT_number 123
_space_group_name_Hall '-P 4 2'
loop_
_atom_site_label
_atom_site_fract_x
_atom_site_fract_y
_atom_site_fract_z
Pd1 0.0000 0.0000 0.0000
Au1 0.5000 0.5000 0.5000
I1 0.5000 0.5000 0.0000
O1 0.0000 0.5000 0.5000



# GaFeRe2, relaxed, DFT GGA-PBE
# Calculated formation energy = 0.702 eV/atom
# Crystal system = tetragonal
# Final energy = -8.394 eV per atom
data_GaFeRe2
_cell_length_a 7.1549
_cell_length_b 7.1549
_cell_length_c 4.8623
_cell_angle_alpha 90.00
_cell_angle_beta 90.00
_cell_angle_gamma 90.00
_space_group_name_H-M_alt 'I -4 2 d'
_space_group_IT_number 122
_space_group_name_Hall 'I -4 2bw'
loop_
_atom_site_label
_atom_site_fract_x
_atom_site_fract_y
_atom_site_fract_z
Ga1 0.0000 0.0000 0.0000
Fe1 0.0000 0.0000 0.5000
Re1 0.1901 0.2500 0.6250



# LiPbF4, relaxed, DFT GGA-PBE
# Formation energy without anion corrections = -2.315 eV/atom
# Crystal system = monoclinic
# Final energy = -4.500 eV per atom
data_LiPbF4
_cell_length_a 5.6579
_cell_length_b 5.5299
_cell_length_c 5.3035
_cell_angle_alpha 90.00
_cell_angle_beta 101.17
_cell_angle_gamma 90.00
_space_group_name_H-M_alt 'C 1 m 1'
_space_group_IT_number 8
loop_
_space_group_symop_operation_xyz
'x,y,z'
'x,-y,z'
'x+1/2,y+1/2,z'
'x+1/2,-y+1/2,z'
loop_
_atom_site_label
_atom_site_fract_x
_atom_site_fract_y
_atom_site_fract_z
Li1 0.0000 0.0000 0.0000
Pb1 0.4941 0.0000 0.5042
F1 0.1798 0.2394 0.2543
F2 0.3081 0.2599 0.7559



# MgHgGe, relaxed, DFT GGA-PBE
# Calculated formation energy = -0.035 eV/atom
# Crystal system = monoclinic
# Final energy = -2.206 eV per atom
data_MgHgGe
_cell_length_a 5.6466
_cell_length_b 3.1336
_cell_length_c 7.6993
_cell_angle_alpha 90.00
_cell_angle_beta 109.74
_cell_angle_gamma 90.00
_space_group_name_H-M_alt 'P 1 2/m 1'
_space_group_IT_number 10
loop_
_space_group_symop_operation_xyz
'x,y,z'
'-x,-y,-z'
'-x,y,-z'
'x,-y,z'
loop_
_atom_site_label
_atom_site_fract_x
_atom_site_fract_y
_atom_site_fract_z
Mg1 0.1248 0.0000 0.2649
Hg1 0.3064 0.5000 0.6149
Ge1 0.2700 0.5000 0.0018



# Na2CdAgH, relaxed, DFT GGA-PBE
# Crystal system = tetragonal
# Excess energy over the best structure of this formula in the dataset = 0.000 eV/atom
# Final energy = -1.934 eV per atom
data_Na2CdAgH
_cell_length_a 5.0702
_cell_length_b 5.0702
_cell_length_c 3.8364
_cell_angle_alpha 90.00
_cell_angle_beta 90.00
_cell_angle_gamma 90.00
_space_group_name_H-M_alt 'P 4/m m m'
_space_group_IT_number 123
_space_group_name_Hall '-P 4 2'
loop_
_atom_site_label
_atom_site_fract_x
_atom_site_fract_y
_atom_site_fract_z
Na1 0.0000 0.5000 0.0000
Cd1 0.0000 0.0000 0.5000
Ag1 0.5000 0.5000 0.5000
H1 0.5000 0.5000 0.0000



# MgCuO2, relaxed, DFT GGA-PBE
# Formation energy without anion corrections = -1.489 eV/atom
# Crystal system = orthorhombic
# Final energy = -5.391 eV per atom
data_MgCuO2
_cell_length_a 5.0292
_cell_length_b 5.1895
_cell_length_c 3.0083
_cell_angle_alpha 90.00
_cell_angle_beta 90.00
_cell_angle_gamma 90.00
_space_group_name_H-M_alt 'P n n m'
_space_group_IT_number 58
loop_
_space_group_symop_operation_xyz
'x,y,z'
'-x,-y,-z'
'-x,-y,z'
'x,y,-z'
'x+1/2,-y+1/2,-z+1/2'
'-x+1/2,y+1/2,z+1/2'
'-x+1/2,y+1/2,-z+1/2'
'x+1/2,-y+1/2,z+1/2'
loop_
_atom_site_label
_atom_site_fract_x
_atom_site_fract_y
_atom_site_fract_z
Mg1 0.0000 0.0000 0.0000
Cu1 0.0000 0.5000 0.0000
O1 0.1892 0.2262 0.5000



# Ag3AsS3, relaxed, DFT GGA-PBE
# Formation energy without anion corrections = -0.096 eV/atom
# Crystal system = monoclinic
# Excess energy over the best structure of this formula in the dataset = 0.000 eV/atom
# Final energy = -3.752 eV per atom
data_Ag3AsS3
_cell_length_a 12.1262
_cell_length_b 6.4412
_cell_length_c 17.1302
_cell_angle_alpha 90.00
_cell_angle_beta 109.68
_cell_angle_gamma 90.00
_space_group_name_H-M_alt 'C 1 2/c 1'
_space_group_IT_number 15
loop_
_space_group_symop_operation_xyz
'x,y,z'
'-x,-y,-z'
'-x,y,-z+1/2'
'x,-y,z+1/2'
'x+1/2,y+1/2,z'
'-x+1/2,-y+1/2,-z'
'-x+1/2,y+1/2,-z+1/2'
'x+1/2,-y+1/2,z+1/2'
loop_
_atom_site_label
_atom_site_fract_x
_atom_site_fract_y
_atom_site_fract_z
Ag1 0.0647 0.0930 0.4386
Ag2 0.1321 0.0266 0.7139
Ag3 0.1405 0.4714 0.3686
As1 0.1487 0.4514 0.0729
S1 0.0721 0.3595 0.1728
S2 0.1581 0.1883 0.5875
S3 0.1602 0.1359 0.8581



# CaCeAgSn, relaxed, DFT GGA-PBE
# Calculated formation energy = -0.455 eV/atom
# Crystal system = cubic
# Final energy = -4.152 eV per atom
data_CaCeAgSn
_cell_length_a 7.6019
_cell_length_b 7.6019
_cell_length_c 7.6019
_cell_angle_alpha 90.00
_cell_angle_beta 90.00
_cell_angle_gamma 90.00
_space_group_name_H-M_alt 'F -4 3 m'
_space_group_IT_number 216
_space_group_name_Hall 'F -4 2 3'
loop_
_atom_site_label
_atom_site_fract_x
_atom_site_fract_y
_atom_site_fract_z
Ca1 0.0000 0.0000 0.0000
Ce1 0.0000 0.0000 0.5000
Ag1 0.2500 0.2500 0.2500
Sn1 0.2500 0.2500 0.7500